# PBE-GGA Ta2AgHg, relaxed
data_Ta2AgHg
_cell_length_a 2.903
_cell_length_b 2.903
_cell_length_c 8.737
_cell_angle_alpha 90.00
_cell_angle_beta 90.00
_cell_angle_gamma 90.00
_symmetry_space_group_name_H-M 'P 4/m m m'
_symmetry_Int_Tables_number 123
_symmetry_space_group_name_Hall '-P 4 2'
loop_
_atom_site_label
_atom_site_type_symbol
_atom_site_fract_x
_atom_site_fract_y
_atom_site_fract_z
_atom_site_occupancy
Ta1 Ta 0.000 0.000 0.243 1
Ag1 Ag 0.500 0.500 0.000 1
Hg1 Hg 0.500 0.500 0.500 1
# spin magnetization: 0.0 μB/f.u.
# Fermi-level density of states: 3.042 states/eV/f.u.
# total energy: -6.32 eV/atom
# ΔE_f: 0.396 eV/atom

# PBE-GGA ZnSbI2Cl, relaxed
data_ZnSbI2Cl
_cell_length_a 5.416
_cell_length_b 5.416
_cell_length_c 5.511
_cell_angle_alpha 90.00
_cell_angle_beta 90.00
_cell_angle_gamma 90.00
_symmetry_space_group_name_H-M 'P 4/m m m'
_symmetry_Int_Tables_number 123
_symmetry_space_group_name_Hall '-P 4 2'
loop_
_atom_site_label
_atom_site_type_symbol
_atom_site_fract_x
_atom_site_fract_y
_atom_site_fract_z
_atom_site_occupancy
Zn1 Zn 0.000 0.000 0.000 1
Sb1 Sb 0.000 0.000 0.500 1
I1 I 0.000 0.500 0.000 1
Cl1 Cl 0.500 0.500 0.500 1
# spin magnetization: 0.0 μB/f.u.
# Fermi-level density of states: 3.974 states/eV/f.u.
# energy above the most stable polymorph in this dataset: 0.00 eV per formula unit
# total energy: -1.85 eV/atom

# PBE-GGA La2TlCdIr, relaxed
data_La2TlCdIr
_cell_length_a 5.541
_cell_length_b 5.541
_cell_length_c 5.289
_cell_angle_alpha 90.00
_cell_angle_beta 90.00
_cell_angle_gamma 90.00
_symmetry_space_group_name_H-M 'P 4/m m m'
_symmetry_Int_Tables_number 123
_symmetry_space_group_name_Hall '-P 4 2'
loop_
_atom_site_label
_atom_site_type_symbol
_atom_site_fract_x
_atom_site_fract_y
_atom_site_fract_z
_atom_site_occupancy
La1 La 0.000 0.500 0.000 1
Tl1 Tl 0.000 0.000 0.500 1
Cd1 Cd 0.500 0.500 0.500 1
Ir1 Ir 0.000 0.000 0.000 1
# spin magnetization: 0.0 μB/f.u.
# Fermi-level density of states: 5.596 states/eV/f.u.
# energy above the most stable polymorph in this dataset: 1.02 eV per formula unit
# total energy: -4.73 eV/atom
# ΔE_f: -0.331 eV/atom

# PBE-GGA K2OsAu, relaxed
data_K2OsAu
_cell_length_a 6.043
_cell_length_b 10.730
_cell_length_c 2.760
_cell_angle_alpha 90.00
_cell_angle_beta 90.50
_cell_angle_gamma 90.00
_symmetry_space_group_name_H-M 'C 1 2/m 1'
_symmetry_Int_Tables_number 12
_symmetry_space_group_name_Hall '-C 2y'
loop_
_atom_site_label
_atom_site_type_symbol
_atom_site_fract_x
_atom_site_fract_y
_atom_site_fract_z
_atom_site_occupancy
K1 K 0.250 0.250 0.000 1
Os1 Os 0.000 0.000 0.500 1
Au1 Au 0.000 0.500 0.500 1
# spin magnetization: 0.0 μB/f.u.
# Fermi-level density of states: 2.917 states/eV/f.u.
# energy above the most stable polymorph in this dataset: 0.85 eV per formula unit
# total energy: -3.27 eV/atom
# ΔE_f: 0.905 eV/atom

# PBE-GGA LiSc2Ta, relaxed
data_LiSc2Ta
_cell_length_a 3.027
_cell_length_b 4.478
_cell_length_c 6.069
_cell_angle_alpha 90.00
_cell_angle_beta 90.00
_cell_angle_gamma 90.00
_symmetry_space_group_name_H-M 'P m m 2'
_symmetry_Int_Tables_number 25
_symmetry_space_group_name_Hall 'P 2 -2'
loop_
_atom_site_label
_atom_site_type_symbol
_atom_site_fract_x
_atom_site_fract_y
_atom_site_fract_z
_atom_site_occupancy
Li1 Li 0.000 0.000 0.000 1
Sc1 Sc 0.000 0.000 0.538 1
Sc2 Sc 0.500 0.500 0.252 1
Ta1 Ta 0.500 0.500 0.743 1
# spin magnetization: 0.0 μB/f.u.
# Fermi-level density of states: 5.465 states/eV/f.u.
# energy above the most stable polymorph in this dataset: 0.81 eV per formula unit
# total energy: -6.27 eV/atom
# ΔE_f: 0.334 eV/atom

# PBE-GGA UTlPdSe4, relaxed
data_UTlPdSe4
_cell_length_a 7.173
_cell_length_b 5.671
_cell_length_c 9.404
_cell_angle_alpha 90.00
_cell_angle_beta 109.81
_cell_angle_gamma 90.00
_symmetry_space_group_name_H-M 'P 1 21/m 1'
_symmetry_Int_Tables_number 11
_symmetry_space_group_name_Hall '-P 2yb'
loop_
_atom_site_label
_atom_site_type_symbol
_atom_site_fract_x
_atom_site_fract_y
_atom_site_fract_z
_atom_site_occupancy
U1 U 0.228 0.250 0.448 1
Tl1 Tl 0.247 0.250 0.945 1
Pd1 Pd 0.252 0.750 0.686 1
Se1 Se 0.029 0.750 0.841 1
Se2 Se 0.064 0.750 0.410 1
Se3 Se 0.461 0.513 0.301 1
# spin magnetization: 0.4 μB/f.u.
# Fermi-level density of states: 5.420 states/eV/f.u.
# total energy: -5.33 eV/atom

# PBE-GGA GaTcSe2N, relaxed
data_GaTcSe2N
_cell_length_a 5.126
_cell_length_b 5.126
_cell_length_c 3.706
_cell_angle_alpha 90.00
_cell_angle_beta 90.00
_cell_angle_gamma 90.00
_symmetry_space_group_name_H-M 'P 4/m m m'
_symmetry_Int_Tables_number 123
_symmetry_space_group_name_Hall '-P 4 2'
loop_
_atom_site_label
_atom_site_type_symbol
_atom_site_fract_x
_atom_site_fract_y
_atom_site_fract_z
_atom_site_occupancy
Ga1 Ga 0.000 0.000 0.000 1
Tc1 Tc 0.500 0.500 0.500 1
Se1 Se 0.000 0.500 0.500 1
N1 N 0.500 0.500 0.000 1
# spin magnetization: 0.0 μB/f.u.
# Fermi-level density of states: 2.887 states/eV/f.u.
# energy above the most stable polymorph in this dataset: 0.00 eV per formula unit
# total energy: -5.55 eV/atom

# PBE-GGA PuZrNbPd, relaxed
data_PuZrNbPd
_cell_length_a 6.830
_cell_length_b 6.830
_cell_length_c 6.830
_cell_angle_alpha 90.00
_cell_angle_beta 90.00
_cell_angle_gamma 90.00
_symmetry_space_group_name_H-M 'F -4 3 m'
_symmetry_Int_Tables_number 216
_symmetry_space_group_name_Hall 'F -4 2 3'
loop_
_atom_site_label
_atom_site_type_symbol
_atom_site_fract_x
_atom_site_fract_y
_atom_site_fract_z
_atom_site_occupancy
Pu1 Pu 0.000 0.000 0.000 1
Zr1 Zr 0.000 0.000 0.500 1
Nb1 Nb 0.250 0.250 0.250 1
Pd1 Pd 0.250 0.250 0.750 1
# spin magnetization: 4.0 μB/f.u.
# Fermi-level density of states: 6.363 states/eV/f.u.
# total energy: -9.63 eV/atom
# ΔE_f: -0.099 eV/atom

# PBE-GGA Li2InBi2, relaxed
data_Li2InBi2
_cell_length_a 4.9157
_cell_length_b 4.9157
_cell_length_c 5.9314
_cell_angle_alpha 90.00
_cell_angle_beta 90.00
_cell_angle_gamma 120.00
_symmetry_space_group_name_H-M 'P -3 m 1'
_symmetry_Int_Tables_number 164
_symmetry_space_group_name_Hall '-P 3 2"'
loop_
_atom_site_label
_atom_site_type_symbol
_atom_site_fract_x
_atom_site_fract_y
_atom_site_fract_z
_atom_site_occupancy
Li1 Li 0.3333 0.6667 0.1621 1
In1 In 0.0000 0.0000 0.0000 1
Bi1 Bi 0.3333 0.6667 0.6665 1
# spin magnetization: 0.0 μB/f.u.
# Fermi-level density of states: 1.844 states/eV/f.u.
# energy above the most stable polymorph in this dataset: 0.07 eV per formula unit
# total energy: -3.10 eV/atom
# ΔE_f: -0.234 eV/atom

# PBE-GGA Ce3Zn4Ga4, relaxed
data_Ce3Zn4Ga4
_cell_length_a 4.145
_cell_length_b 4.321
_cell_length_c 25.494
_cell_angle_alpha 90.00
_cell_angle_beta 90.00
_cell_angle_gamma 90.00
_symmetry_space_group_name_H-M 'I m m m'
_symmetry_Int_Tables_number 71
_symmetry_space_group_name_Hall '-I 2 2'
loop_
_atom_site_label
_atom_site_type_symbol
_atom_site_fract_x
_atom_site_fract_y
_atom_site_fract_z
_atom_site_occupancy
Ce1 Ce 0.000 0.000 0.000 1
Ce2 Ce 0.000 0.500 0.150 1
Zn1 Zn 0.000 0.000 0.251 1
Zn2 Zn 0.000 0.500 0.404 1
Ga1 Ga 0.000 0.000 0.450 1
Ga2 Ga 0.000 0.500 0.308 1
# spin magnetization: 2.3 μB/f.u.
# Fermi-level density of states: 17.688 states/eV/f.u.
# energy above the most stable polymorph in this dataset: 0.18 eV per formula unit
# total energy: -3.61 eV/atom
# ΔE_f: -0.433 eV/atom

# PBE-GGA Ac2Ga3Ir4Rh, relaxed
data_Ac2Ga3Ir4Rh
_cell_length_a 4.345
_cell_length_b 4.345
_cell_length_c 10.537
_cell_angle_alpha 90.00
_cell_angle_beta 90.00
_cell_angle_gamma 90.00
_symmetry_space_group_name_H-M 'P -4 m 2'
_symmetry_Int_Tables_number 115
_symmetry_space_group_name_Hall 'P -4 -2'
loop_
_atom_site_label
_atom_site_type_symbol
_atom_site_fract_x
_atom_site_fract_y
_atom_site_fract_z
_atom_site_occupancy
Ac1 Ac 0.000 0.500 0.246 1
Ga1 Ga 0.000 0.500 0.877 1
Ga2 Ga 0.500 0.500 0.500 1
Ir1 Ir 0.000 0.000 0.000 1
Ir2 Ir 0.000 0.500 0.636 1
Ir3 Ir 0.500 0.500 0.000 1
Rh1 Rh 0.000 0.000 0.500 1
# spin magnetization: 0.0 μB/f.u.
# Fermi-level density of states: 5.970 states/eV/f.u.
# total energy: -6.59 eV/atom
# ΔE_f: -0.579 eV/atom

# PBE-GGA CeNd2Te, relaxed
data_CeNd2Te
_cell_length_a 3.9349
_cell_length_b 3.9349
_cell_length_c 30.1907
_cell_angle_alpha 90.00
_cell_angle_beta 90.00
_cell_angle_gamma 120.00
_symmetry_space_group_name_H-M 'R -3 m'
_symmetry_Int_Tables_number 166
_symmetry_space_group_name_Hall '-R 3 2"'
loop_
_atom_site_label
_atom_site_type_symbol
_atom_site_fract_x
_atom_site_fract_y
_atom_site_fract_z
_atom_site_occupancy
Ce1 Ce 0.0000 0.0000 0.0000 1
Nd1 Nd 0.0000 0.0000 0.2394 1
Te1 Te 0.0000 0.0000 0.5000 1
# spin magnetization: 0.9 μB/f.u.
# Fermi-level density of states: 8.191 states/eV/f.u.
# energy above the most stable polymorph in this dataset: 0.25 eV per formula unit
# total energy: -5.13 eV/atom

# PBE-GGA NdYPa, relaxed
data_NdYPa
_cell_length_a 6.291
_cell_length_b 11.253
_cell_length_c 11.717
_cell_angle_alpha 90.00
_cell_angle_beta 90.00
_cell_angle_gamma 90.00
_symmetry_space_group_name_H-M 'C m c e'
_symmetry_Int_Tables_number 64
_symmetry_space_group_name_Hall '-C 2ac 2'
loop_
_atom_site_label
_atom_site_type_symbol
_atom_site_fract_x
_atom_site_fract_y
_atom_site_fract_z
_atom_site_occupancy
Nd1 Nd 0.000 0.226 0.098 1
Y1 Y 0.000 0.077 0.790 1
Pa1 Pa 0.214 0.000 0.500 1
# spin magnetization: 0.9 μB/f.u.
# Fermi-level density of states: 5.845 states/eV/f.u.
# energy above the most stable polymorph in this dataset: 1.37 eV per formula unit
# total energy: -6.29 eV/atom
# ΔE_f: 0.618 eV/atom

# PBE-GGA LiAl2Fe4, relaxed
data_LiAl2Fe4
_cell_length_a 6.868
_cell_length_b 6.868
_cell_length_c 4.135
_cell_angle_alpha 90.00
_cell_angle_beta 90.00
_cell_angle_gamma 90.00
_symmetry_space_group_name_H-M 'P 42/m n m'
_symmetry_Int_Tables_number 136
_symmetry_space_group_name_Hall '-P 4n 2n'
loop_
_atom_site_label
_atom_site_type_symbol
_atom_site_fract_x
_atom_site_fract_y
_atom_site_fract_z
_atom_site_occupancy
Li1 Li 0.000 0.000 0.000 1
Al1 Al 0.213 0.213 0.500 1
Fe1 Fe 0.114 0.380 0.000 1
# spin magnetization: 8.2 μB/f.u.
# Fermi-level density of states: 5.489 states/eV/f.u.
# total energy: -6.17 eV/atom
# ΔE_f: 0.009 eV/atom

# PBE-GGA Ca2RuAuN, relaxed
data_Ca2RuAuN
_cell_length_a 5.074
_cell_length_b 5.074
_cell_length_c 3.781
_cell_angle_alpha 90.00
_cell_angle_beta 90.00
_cell_angle_gamma 90.00
_symmetry_space_group_name_H-M 'P 4/m m m'
_symmetry_Int_Tables_number 123
_symmetry_space_group_name_Hall '-P 4 2'
loop_
_atom_site_label
_atom_site_type_symbol
_atom_site_fract_x
_atom_site_fract_y
_atom_site_fract_z
_atom_site_occupancy
Ca1 Ca 0.000 0.500 0.000 1
Ru1 Ru 0.000 0.000 0.500 1
Au1 Au 0.500 0.500 0.500 1
N1 N 0.000 0.000 0.000 1
# spin magnetization: 0.0 μB/f.u.
# Fermi-level density of states: 2.290 states/eV/f.u.
# total energy: -5.60 eV/atom

# PBE-GGA HfBeIr2, relaxed
data_HfBeIr2
_cell_length_a 4.351
_cell_length_b 3.277
_cell_length_c 8.240
_cell_angle_alpha 90.00
_cell_angle_beta 90.00
_cell_angle_gamma 90.00
_symmetry_space_group_name_H-M 'P m m a'
_symmetry_Int_Tables_number 51
_symmetry_space_group_name_Hall '-P 2a 2a'
loop_
_atom_site_label
_atom_site_type_symbol
_atom_site_fract_x
_atom_site_fract_y
_atom_site_fract_z
_atom_site_occupancy
Hf1 Hf 0.250 0.000 0.149 1
Be1 Be 0.250 0.000 0.620 1
Ir1 Ir 0.250 0.500 0.399 1
Ir2 Ir 0.250 0.500 0.862 1
# spin magnetization: 0.0 μB/f.u.
# Fermi-level density of states: 1.571 states/eV/f.u.
# total energy: -8.53 eV/atom
# ΔE_f: -0.680 eV/atom